Entry 1:
Compound: ErVTe2
Source: the Alexandria database
Functional: PBE-GGA
Structure: relaxed

Output
E_form (uncorrected)	-0.208	eV/atom
total moment	0.0	μB/f.u.

abc: 3.616 3.616 9.789
angles: 79.36 79.36 60.00
Element x y z (fractional)
1 V 0.500 0.500 0.500
2 Te 0.107 0.107 0.679
3 Te 0.893 0.893 0.321
4 Er 0.000 0.000 0.000

***

Entry 2:
Compound: Er3V5Te12
Source: the Alexandria database
Functional: PBE-GGA
Structure: relaxed

Output
E_form (uncorrected)	-0.434	eV/atom
total moment	4.6	μB/f.u.

abc: 14.617 14.617 14.617
angles: 109.47 109.47 109.47
Element x y z (fractional)
1 V 0.125 0.375 0.250
2 V 0.000 0.500 0.000
3 V 0.000 0.000 0.000
4 V 0.375 0.250 0.125
5 V 0.500 0.000 0.500
6 V 0.500 0.500 0.000
7 V 0.125 0.750 0.375
8 V 0.750 0.125 0.875
9 V 0.750 0.625 0.375
10 V 0.375 0.125 0.750
11 V 0.625 0.875 0.250
12 V 0.500 0.500 0.500
13 V 0.500 0.000 0.000
14 V 0.000 0.000 0.500
15 V 0.250 0.375 0.625
16 V 0.250 0.875 0.125
17 V 0.000 0.500 0.500
18 V 0.875 0.250 0.625
19 V 0.625 0.750 0.875
20 V 0.875 0.625 0.750
21 Te 0.713 0.121 0.033
22 Te 0.321 0.533 0.412
23 Te 0.967 0.379 0.287
24 Te 0.533 0.213 0.121
25 Te 0.591 0.713 0.679
26 Te 0.967 0.588 0.179
27 Te 0.321 0.787 0.409
28 Te 0.088 0.909 0.121
29 Te 0.588 0.967 0.679
30 Te 0.713 0.591 0.179
31 Te 0.787 0.467 0.379
32 Te 0.821 0.912 0.033
33 Te 0.121 0.713 0.533
34 Te 0.379 0.412 0.091
35 Te 0.091 0.912 0.379
36 Te 0.409 0.121 0.588
37 Te 0.091 0.179 0.213
38 Te 0.467 0.679 0.088
39 Te 0.821 0.909 0.287
40 Te 0.121 0.409 0.088
41 Te 0.379 0.967 0.787
42 Te 0.588 0.621 0.409
43 Te 0.912 0.821 0.533
44 Te 0.787 0.321 0.909
45 Te 0.412 0.379 0.591
46 Te 0.088 0.179 0.467
47 Te 0.213 0.679 0.091
48 Te 0.179 0.091 0.713
49 Te 0.621 0.033 0.213
50 Te 0.879 0.591 0.912
51 Te 0.533 0.321 0.912
52 Te 0.591 0.879 0.412
53 Te 0.909 0.821 0.787
54 Te 0.909 0.088 0.621
55 Te 0.879 0.287 0.467
56 Te 0.179 0.088 0.967
57 Te 0.621 0.588 0.909
58 Te 0.412 0.033 0.321
59 Te 0.287 0.409 0.821
60 Te 0.213 0.533 0.621
61 Te 0.912 0.091 0.879
62 Te 0.679 0.213 0.591
63 Te 0.467 0.787 0.879
64 Te 0.033 0.412 0.821
65 Te 0.409 0.287 0.321
66 Te 0.033 0.621 0.713
67 Te 0.679 0.467 0.588
68 Te 0.287 0.879 0.967
69 Er 0.750 0.375 0.125
70 Er 0.875 0.750 0.125
71 Er 0.375 0.750 0.625
72 Er 0.250 0.125 0.375
73 Er 0.875 0.125 0.250
74 Er 0.375 0.625 0.250
75 Er 0.625 0.375 0.750
76 Er 0.125 0.875 0.750
77 Er 0.750 0.875 0.625
78 Er 0.625 0.250 0.375
79 Er 0.125 0.250 0.875
80 Er 0.250 0.625 0.875

***

Entry 3:
Compound: Y3Er4Te8
Source: the Alexandria database
Functional: PBE-GGA
Structure: relaxed

Output
E_form (uncorrected)	-1.344	eV/atom
total moment	0.0	μB/f.u.

abc: 8.651 8.650 8.650
angles: 90.01 119.99 119.99
Element x y z (fractional)
1 Y 0.500 0.500 0.000
2 Y 0.500 0.000 0.500
3 Y 0.500 0.500 0.500
4 Er 0.500 0.000 0.000
5 Er 0.000 0.500 0.000
6 Er 0.000 0.000 0.000
7 Er 0.000 0.000 0.500
8 Te 0.509 0.253 0.253
9 Te 0.000 0.746 0.254
10 Te 0.997 0.253 0.253
11 Te 0.500 0.751 0.249
12 Te 0.500 0.249 0.751
13 Te 0.003 0.747 0.747
14 Te 0.000 0.254 0.746
15 Te 0.491 0.747 0.747

***

Entry 4:
Compound: YEr4Te5
Source: the Alexandria database
Functional: PBE-GGA
Structure: relaxed

Output
E_form (uncorrected)	-1.233	eV/atom
energy above the lowest structure with this stoichiometry	0.0000	eV per atom
total moment	0.0	μB/f.u.

abc: 4.284 4.284 15.975
angles: 97.71 97.71 90.00
Element x y z (fractional)
1 Y 0.000 0.000 0.000
2 Er 0.407 0.407 0.813
3 Er 0.790 0.790 0.579
4 Er 0.210 0.210 0.421
5 Er 0.593 0.593 0.187
6 Te 0.104 0.104 0.208
7 Te 0.500 0.500 0.000
8 Te 0.896 0.896 0.792
9 Te 0.307 0.307 0.614
10 Te 0.693 0.693 0.386

***

Entry 5:
Compound: Y2ErTe
Source: the Alexandria database
Functional: PBE-GGA
Structure: relaxed

Output
E_form (uncorrected)	-0.566	eV/atom
energy above the lowest structure with this stoichiometry	0.1001	eV per atom
total moment	0.0	μB/f.u.

abc: 3.873 3.873 7.807
angles: 90.00 90.00 90.00
Element x y z (fractional)
1 Y 0.000 0.000 0.773
2 Y 0.000 0.000 0.227
3 Te 0.500 0.500 0.000
4 Er 0.500 0.500 0.500

***

Entry 6:
Compound: YErTe3
Source: the Alexandria database
Functional: PBE-GGA
Structure: relaxed

Output
E_form (uncorrected)	-1.337	eV/atom
energy above the lowest structure with this stoichiometry	0.0282	eV per atom
total moment	0.0	μB/f.u.

abc: 4.201 7.378 10.806
angles: 90.00 90.00 106.54
Element x y z (fractional)
1 Y 0.000 0.000 0.500
2 Y 0.000 0.000 0.000
3 Er 0.245 0.490 0.250
4 Er 0.755 0.510 0.750
5 Te 0.099 0.198 0.750
6 Te 0.901 0.802 0.250
7 Te 0.351 0.703 0.570
8 Te 0.649 0.297 0.430
9 Te 0.649 0.297 0.070
10 Te 0.351 0.703 0.930

***

Entry 7:
Compound: YEr2Te3
Source: the Alexandria database
Functional: PBE-GGA
Structure: relaxed

Output
E_form (uncorrected)	-1.270	eV/atom
energy above the lowest structure with this stoichiometry	0.0000	eV per atom
total moment	0.0	μB/f.u.

abc: 7.232 7.232 8.753
angles: 65.60 65.60 60.00
Element x y z (fractional)
1 Y 0.500 0.500 0.500
2 Y 0.000 0.000 0.000
3 Er 0.166 0.166 0.501
4 Er 0.334 0.334 0.999
5 Er 0.834 0.834 0.499
6 Er 0.666 0.666 0.001
7 Te 0.919 0.581 0.250
8 Te 0.250 0.919 0.250
9 Te 0.750 0.081 0.750
10 Te 0.419 0.750 0.750
11 Te 0.081 0.419 0.750
12 Te 0.581 0.250 0.250

***

Entry 8:
Compound: Y3ErTe
Source: the Alexandria database
Functional: PBE-GGA
Structure: relaxed

Output
E_form (uncorrected)	-0.363	eV/atom
energy above the lowest structure with this stoichiometry	0.0000	eV per atom
total moment	0.0	μB/f.u.

abc: 3.745 9.970 9.005
angles: 105.42 102.00 90.00
Element x y z (fractional)
1 Y 0.002 0.204 0.003
2 Y 0.998 0.796 0.997
3 Y 0.322 0.155 0.643
4 Y 0.678 0.845 0.357
5 Y 0.101 0.542 0.201
6 Y 0.899 0.458 0.799
7 Er 0.703 0.340 0.406
8 Er 0.297 0.660 0.594
9 Te 0.862 0.930 0.723
10 Te 0.138 0.070 0.277

***

Entry 9:
Compound: YEr2Te2
Source: the Alexandria database
Functional: PBE-GGA
Structure: relaxed

Output
E_form (uncorrected)	-0.956	eV/atom
total moment	0.0	μB/f.u.

abc: 4.077 6.144 12.034
angles: 99.76 90.00 90.00
Element x y z (fractional)
1 Y 0.750 0.718 0.965
2 Y 0.250 0.282 0.035
3 Er 0.250 0.395 0.760
4 Er 0.250 0.225 0.381
5 Er 0.750 0.775 0.619
6 Er 0.750 0.605 0.240
7 Te 0.750 0.261 0.572
8 Te 0.750 0.081 0.188
9 Te 0.250 0.919 0.812
10 Te 0.250 0.739 0.428

***

Entry 10:
Compound: Y3ErTe2
Source: the Alexandria database
Functional: PBE-GGA
Structure: relaxed

Output
E_form (uncorrected)	-0.695	eV/atom
total moment	0.0	μB/f.u.

abc: 5.292 3.954 8.343
angles: 90.00 108.49 90.00
Element x y z (fractional)
1 Y 0.322 0.000 0.644
2 Y 0.678 0.000 0.356
3 Y 0.500 0.500 0.000
4 Er 0.000 0.000 0.000
5 Te 0.155 0.500 0.310
6 Te 0.845 0.500 0.690

***

Entry 11:
Compound: YEr4Te5
Source: the Alexandria database
Functional: PBE-GGA
Structure: relaxed

Output
E_form (uncorrected)	-1.228	eV/atom
energy above the lowest structure with this stoichiometry	0.0049	eV per atom
total moment	0.0	μB/f.u.

abc: 6.131 7.496 7.496
angles: 80.37 65.86 65.86
Element x y z (fractional)
1 Y 0.001 0.000 0.000
2 Er 0.397 0.398 0.810
3 Er 0.795 0.810 0.602
4 Er 0.207 0.190 0.398
5 Er 0.605 0.602 0.190
6 Te 0.904 0.403 0.792
7 Te 0.306 0.792 0.597
8 Te 0.695 0.208 0.403
9 Te 0.098 0.597 0.208
10 Te 0.501 0.000 0.000

***

Entry 12:
Compound: YErTe3
Source: the Alexandria database
Functional: PBE-GGA
Structure: relaxed

Output
E_form (uncorrected)	-1.365	eV/atom
energy above the lowest structure with this stoichiometry	0.0000	eV per atom
total moment	0.0	μB/f.u.

abc: 7.662 7.662 8.287
angles: 62.46 62.46 60.00
Element x y z (fractional)
1 Y 0.157 0.157 0.528
2 Y 0.843 0.843 0.472
3 Er 0.342 0.342 0.973
4 Er 0.658 0.658 0.027
5 Te 0.065 0.436 0.752
6 Te 0.748 0.065 0.752
7 Te 0.564 0.252 0.248
8 Te 0.252 0.935 0.248
9 Te 0.935 0.564 0.248
10 Te 0.436 0.748 0.752